# LaPr5Se8

A relaxed structure of LaPr5Se8 (GGA-PBE, the Alexandria database).

```
data_LaPr5Se8
_chemical_formula_sum 'La2 Pr10 Se16'
_space_group_name_H-M_alt 'I -4'
_space_group_IT_number 82
_space_group_name_Hall 'I -4'
_cell_length_a 9.007
_cell_length_b 9.007
_cell_length_c 9.077
_cell_angle_alpha 90.00
_cell_angle_beta 90.00
_cell_angle_gamma 90.00
loop_
_atom_site_label
_atom_site_type_symbol
_atom_site_fract_x
_atom_site_fract_y
_atom_site_fract_z
La1 La 0.000 0.000 0.000
Pr1 Pr 0.000 0.500 0.750
Pr2 Pr 0.117 0.250 0.375
Se1 Se 0.075 0.177 0.699
Se2 Se 0.076 0.324 0.050
```

For the raw formation energy, the calculation gives -1.89 eV/atom. The electronic total energy comes out at -0.2184 Ha/atom. Its total moment is 0.00 Bohr magnetons per cell. The value obtained for the density of states at the Fermi level is 0.7140 states/eV/atom.